No. 1
K2ZrPt | PBE | optimized geometry

Structure (POSCAR):
```
K2ZrPt
1.0
5.253 0.000 0.000
0.005 5.253 0.000
-2.629 -2.627 3.713
Pt Zr K
1 1 2
direct
0.500 0.500 0.000 Pt
0.750 0.250 0.500 Zr
0.000 0.000 0.000 K
0.250 0.750 0.500 K
```

Properties
* offset from the most stable computed form: 0.7134 eV/atom
* space group: No. 216
* total moment: 1.5 μB/f.u.
* formation energy: 607 meV/atom
* density of states at the Fermi level: 0.949 states/eV per atom
* volume: 25.6 A^3/atom

No. 2
BaLi2Mg | PBE | optimized geometry

Structure (POSCAR):
```
BaLi2Mg
1.0
-3.840 2.257 3.405
-3.916 -0.737 -3.944
-0.817 -3.640 1.491
Ba Li Mg
1 2 1
direct
0.000 0.500 0.500 Ba
0.000 0.000 0.000 Li
0.500 0.500 0.000 Li
0.500 0.000 0.500 Mg
```

Properties
* space group: No. 65
* total moment: 0.0 μB/f.u.
* formation energy: 152 meV/atom
* density of states at the Fermi level: 0.854 states/eV per atom
* volume: 31.6 A^3/atom

No. 3
PmPrErZr | PBE | optimized geometry

Structure (POSCAR):
```
PmPrErZr
1.0
-3.238 -1.133 -4.390
-1.374 -5.273 -1.161
-5.232 -1.750 0.776
Er Pr Pm Zr
1 1 1 1
direct
0.500 0.500 0.500 Er
0.750 0.750 0.750 Pr
0.000 0.000 0.000 Pm
0.250 0.250 0.250 Zr
```

Properties
* space group: No. 216
* total moment: 1.6 μB/f.u.
* formation energy: 249 meV/atom
* density of states at the Fermi level: 2.165 states/eV per atom
* volume: 30.6 A^3/atom

No. 4
Tb3BiTeN | PBE | optimized geometry

Structure (POSCAR):
```
Tb3BiTeN
1.0
4.196 0.000 0.000
0.000 9.090 1.382
0.000 -2.346 8.955
Tb Te N Bi
6 2 2 2
direct
0.250 0.614 0.865 Tb
0.250 0.112 0.827 Tb
0.750 0.142 0.497 Tb
0.750 0.386 0.135 Tb
0.750 0.888 0.173 Tb
0.250 0.858 0.503 Tb
0.250 0.632 0.197 Te
0.750 0.368 0.803 Te
0.750 0.910 0.410 N
0.250 0.090 0.590 N
0.250 0.154 0.197 Bi
0.750 0.846 0.803 Bi
```

Properties
* formation energy (no corrections): -1.178 eV per atom
* space group: No. 11
* total moment: 0.0 μB/f.u.
* density of states at the Fermi level: 0.399 states/eV per atom
* volume: 29.6 A^3/atom